Gd2ErAl3Cu2Ni, optimized geometry, DFT PBE; space group = Amm2, No. 38; raw total energy = -42.61 eV per cell
1.0
4.007 0.000 0.000
0.000 6.072 3.493
0.000 -6.072 3.493
Al Cu Er Gd Ni
3 2 1 2 1
Cartesian
2.003 0.000 1.611
2.003 1.387 6.176
2.003 -1.387 6.176
2.003 1.989 3.503
2.003 -1.989 3.503
0.000 0.000 4.114
0.000 2.502 1.444
0.000 -2.502 1.444
0.000 0.000 6.963